#P
The following is a GGA-PBE calculation of crystalline MnCrIr2 at its relaxed geometry, from the Alexandria database.

Geometry as POSCAR:
```
MnCrIr2
1.0
-4.0265 2.8826 -7.1418
-6.1573 1.8963 -5.8325
-5.2955 4.3891 -5.3122
Cr Ir Mn
1 2 1
Direct
0.7510 0.7510 0.7510
0.0053 0.0053 0.0053
0.2452 0.2452 0.2452
0.4985 0.4985 0.4985
```

N(E_F) in states/eV per cell: 5.44
SG: R3m

=====

#Q
The following is a GGA-PBE calculation of crystalline MnCrIr2 at its relaxed geometry, from the Alexandria database.

Geometry as POSCAR:
```
MnCrIr2
1.0
5.4911 0.0000 0.0000
0.0000 5.4911 0.0000
2.7455 2.7455 5.1028
Cr Ir Mn
2 4 2
Direct
0.5000 0.5000 0.0000
0.2500 0.7500 0.5000
0.6196 0.1250 0.2500
0.1304 0.6250 0.2500
0.3750 0.3804 0.7500
0.8750 0.8696 0.7500
0.0000 0.0000 0.0000
0.7500 0.2500 0.5000
```

N(E_F) in states/eV per cell: 7.19
SG: I-42d

=====

#R
The following is a GGA-PBE calculation of crystalline MnCrIr2 at its relaxed geometry, from the Alexandria database.

Geometry as POSCAR:
```
MnCrIr2
1.0
-2.5595 -2.8991 2.4096
-0.8384 -3.6142 -2.6450
3.9275 2.0605 1.0443
Cr Ir Mn
1 2 1
Direct
0.7500 0.2500 0.5000
0.0000 0.0000 0.0000
0.5000 0.5000 0.0000
0.2500 0.7500 0.5000
```

N(E_F) in states/eV per cell: 4.30
SG: I4/mmm

=====

#S
The following is a GGA-PBE calculation of crystalline MnCrIr2 at its relaxed geometry, from the Alexandria database.

Geometry as POSCAR:
```
MnCrIr2
1.0
-2.1879 5.1342 -6.5920
-4.6164 4.7879 -5.5105
-2.9877 6.6959 -4.5651
Cr Ir Mn
1 2 1
Direct
0.7500 0.7500 0.7500
0.0001 0.0001 0.0001
0.4998 0.4998 0.4998
0.2500 0.2500 0.2500
```

N(E_F) in states/eV per cell: 5.14
SG: R-3m

=====

Q: Which of them is the least stable? A: #Q.

=====

#P
The following is a GGA-PBE calculation of crystalline MnCrIr2 at its relaxed geometry, from the Alexandria database.

Geometry as POSCAR:
```
MnCrIr2
1.0
-3.0866 0.6240 2.9397
0.9809 -0.0384 4.1946
-0.1044 3.6598 2.2701
Cr Ir Mn
1 2 1
Direct
0.5000 0.5000 0.5000
0.0000 0.0000 0.0000
0.2500 0.2500 0.2500
0.7500 0.7500 0.7500
```

N(E_F) in states/eV per cell: 8.31
SG: F-43m

=====

#Q
The following is a GGA-PBE calculation of crystalline MnCrIr2 at its relaxed geometry, from the Alexandria database.

Geometry as POSCAR:
```
MnCrIr2
1.0
-3.2242 1.6321 0.7223
-0.4533 -2.2481 3.0560
1.7941 2.5848 2.1676
Cr Ir Mn
1 2 1
Direct
0.5000 0.0000 0.5000
0.0000 0.0000 0.0000
0.0000 0.5000 0.5000
0.5000 0.5000 0.0000
```

N(E_F) in states/eV per cell: 2.95
SG: P4/mmm

=====

Q: Which of them is the least stable? A: #P.

=====

#P
The following is a GGA-PBE calculation of crystalline MnCr2Ir2 at its relaxed geometry, from the Alexandria database.

Geometry as POSCAR:
```
MnCr2Ir2
1.0
7.0953 0.0000 0.0000
0.0000 7.0953 0.0000
0.0000 0.0000 2.6721
Cr Ir Mn
4 4 2
Direct
0.3826 0.8826 0.0000
0.8826 0.6174 0.0000
0.6174 0.1174 0.0000
0.1174 0.3826 0.0000
0.1766 0.6766 0.5000
0.6766 0.8234 0.5000
0.8234 0.3234 0.5000
0.3234 0.1766 0.5000
0.0000 0.0000 0.0000
0.5000 0.5000 0.0000
```

N(E_F) in states/eV per cell: 8.80
SG: P4/mbm

=====

#Q
The following is a GGA-PBE calculation of crystalline MnCr2Ir2 at its relaxed geometry, from the Alexandria database.

Geometry as POSCAR:
```
MnCr2Ir2
1.0
-4.1106 -0.1968 -5.8449
5.8476 -0.0340 -4.1114
0.0319 -2.6699 0.0675
Cr Ir Mn
4 4 2
Direct
0.1676 0.6676 0.5000
0.6676 0.8324 0.5000
0.8324 0.3324 0.5000
0.3324 0.1676 0.5000
0.3689 0.8689 0.0000
0.8689 0.6311 0.0000
0.6311 0.1311 0.0000
0.1311 0.3689 0.0000
0.0000 0.0000 0.0000
0.5000 0.5000 0.0000
```

N(E_F) in states/eV per cell: 15.79
SG: P4/mbm

=====

Q: Which of them is the least stable? A: #Q.

=====

#P
The following is a GGA-PBE calculation of crystalline MnCrSiIr at its relaxed geometry, from the Alexandria database.

Geometry as POSCAR:
```
MnCrSiIr
1.0
-2.1876 -3.1094 1.6876
1.7966 -3.6955 0.6463
0.8278 -1.2606 3.8766
Mn Cr Si Ir
1 1 1 1
Direct
0.2500 0.2500 0.2500
0.5000 0.5000 0.5000
0.7500 0.7500 0.7500
0.0000 0.0000 0.0000
```

N(E_F) in states/eV per cell: 1.17
SG: F-43m

=====

#Q
The following is a GGA-PBE calculation of crystalline MnCrSiIr at its relaxed geometry, from the Alexandria database.

Geometry as POSCAR:
```
MnCrSiIr
1.0
-1.0779 3.7595 -1.3334
-3.9930 1.0183 -0.3032
-1.6405 2.7329 2.6293
Cr Si Ir Mn
1 1 1 1
Direct
0.2500 0.2500 0.2500
0.7500 0.7500 0.7500
0.5000 0.5000 0.5000
0.0000 0.0000 0.0000
```

N(E_F) in states/eV per cell: 2.27
SG: F-43m

=====

Q: Which of them is the least stable? A: #Q.

=====

#P
The following is a GGA-PBE calculation of crystalline CrMoIr2 at its relaxed geometry, from the Alexandria database.

Geometry as POSCAR:
```
CrMoIr2
1.0
3.1975 0.0000 0.0000
0.0000 3.1975 0.0000
0.0000 0.0000 5.7017
Cr Ir Mo
1 2 1
Direct
0.5000 0.5000 0.7783
0.0000 0.0000 0.9634
0.5000 0.5000 0.2541
0.0000 0.0000 0.5043
```

N(E_F) in states/eV per cell: 5.06
SG: P4mm

=====

#Q
The following is a GGA-PBE calculation of crystalline CrMoIr2 at its relaxed geometry, from the Alexandria database.

Geometry as POSCAR:
```
CrMoIr2
1.0
3.7960 0.0000 0.0000
0.0000 3.7960 0.0000
1.8980 1.8980 8.7579
Cr Mo Ir
2 2 4
Direct
0.5000 0.5000 0.0000
0.2500 0.7500 0.5000
0.0000 0.0000 0.0000
0.7500 0.2500 0.5000
0.6105 0.1250 0.2500
0.1395 0.6250 0.2500
0.3750 0.3895 0.7500
0.8750 0.8605 0.7500
```

N(E_F) in states/eV per cell: 9.09
SG: I-42d

=====

Q: Which of them is the least stable? A: #Q.

=====

#P
The following is a GGA-PBE calculation of crystalline Cr2MoIr2 at its relaxed geometry, from the Alexandria database.

Geometry as POSCAR:
```
Cr2MoIr2
1.0
-0.0724 -7.2571 -0.4908
6.0371 0.2138 -4.0522
1.4921 -0.1646 2.2142
Cr Mo Ir
4 2 4
Direct
0.1682 0.6682 0.5000
0.6682 0.8318 0.5000
0.8318 0.3318 0.5000
0.3318 0.1682 0.5000
0.0000 0.0000 0.0000
0.5000 0.5000 0.0000
0.3712 0.8712 0.0000
0.8712 0.6288 0.0000
0.6288 0.1288 0.0000
0.1288 0.3712 0.0000
```

N(E_F) in states/eV per cell: 10.28
SG: P4/mbm

=====

#Q
The following is a GGA-PBE calculation of crystalline Cr2MoIr2 at its relaxed geometry, from the Alexandria database.

Geometry as POSCAR:
```
Cr2MoIr2
1.0
-1.4835 -6.6340 2.3640
-1.7350 -1.9972 -6.6933
2.5567 -0.7303 -0.4449
Cr Mo Ir
4 2 4
Direct
0.3829 0.8829 0.0000
0.8829 0.6171 0.0000
0.6171 0.1171 0.0000
0.1171 0.3829 0.0000
0.0000 0.0000 0.0000
0.5000 0.5000 0.0000
0.1757 0.6757 0.5000
0.6757 0.8243 0.5000
0.8243 0.3243 0.5000
0.3243 0.1757 0.5000
```

N(E_F) in states/eV per cell: 5.57
SG: P4/mbm

=====

Q: Which of them is the least stable? A: #P.

=====

#P
The following is a GGA-PBE calculation of crystalline CrMoIr at its relaxed geometry, from the Alexandria database.

Geometry as POSCAR:
```
CrMoIr
1.0
5.4432 0.0000 0.0000
-2.7216 4.7139 0.0000
0.0000 0.0000 10.8919
Mo Cr Ir
6 6 6
Direct
0.5000 0.0000 0.6667
0.0000 0.0000 0.5000
0.0000 0.0000 0.8333
0.0000 0.0000 0.1667
0.5000 0.5000 0.0000
0.0000 0.5000 0.3333
0.3896 0.7793 0.1667
0.7793 0.3896 0.8333
0.6104 0.3896 0.5000
0.6104 0.2207 0.1667
0.3896 0.6104 0.5000
0.2207 0.6104 0.8333
0.5000 0.5000 0.2891
0.0000 0.5000 0.6224
0.5000 0.5000 0.7109
0.0000 0.5000 0.0442
0.5000 0.0000 0.9558
0.5000 0.0000 0.3776
```

N(E_F) in states/eV per cell: 16.60
SG: P6_222

=====

#Q
The following is a GGA-PBE calculation of crystalline CrMoIr at its relaxed geometry, from the Alexandria database.

Geometry as POSCAR:
```
CrMoIr
1.0
6.1989 0.0060 -0.0062
5.6142 2.6271 0.0069
0.5847 0.1155 2.6187
Cr Ir Mo
1 1 1
Direct
0.9898 0.9898 0.0102
0.3442 0.3442 0.6558
0.6660 0.6660 0.3340
```

N(E_F) in states/eV per cell: 2.54
SG: I4mm

=====

Q: Which of them is the least stable? A: #P.

=====

#P
The following is a GGA-PBE calculation of crystalline CrMoIr at its relaxed geometry, from the Alexandria database.

Geometry as POSCAR:
```
CrMoIr
1.0
-1.0105 3.7366 -1.2773
-3.8349 1.3227 0.3991
-0.8794 2.9127 2.7125
Cr Ir Mo
1 1 1
Direct
0.7500 0.7500 0.7500
0.0000 0.0000 0.0000
0.5000 0.5000 0.5000
```

N(E_F) in states/eV per cell: 2.98
SG: F-43m

=====

#Q
The following is a GGA-PBE calculation of crystalline CrMoIr at its relaxed geometry, from the Alexandria database.

Geometry as POSCAR:
```
CrMoIr
1.0
-4.6281 -1.8738 -0.5784
-2.4037 -1.1929 -4.2501
4.3183 -0.4832 2.5265
Cr Ir Mo
1 1 1
Direct
0.0121 0.0121 0.0000
0.3373 0.3373 0.0000
0.6506 0.6506 0.0000
```

N(E_F) in states/eV per cell: 3.86
SG: I4mm

=====

Q: Which of them is the least stable? A: #P.